SrPdBr6: optimized geometry, GGA-PBE.

## Properties
- Energy: -3.03 eV/atom
- Formation energy from raw total energies: -0.913 eV per atom
- Energy above the most stable polymorph in this dataset: 0 meV per atom

```
16
Lattice="7.116 -0.083 0.061 1.902 6.858 0.061 -0.097 -0.073 10.728" Properties=species:S:1:pos:R:3 pbc="T T T"
Sr 1.918 6.786 2.743
Sr 7.003 -0.084 8.107
Pd 0.903 3.393 5.395
Pd 3.558 -0.041 0.031
Br 2.939 4.158 4.121
Br 5.982 2.545 6.729
Br 4.158 5.074 1.365
Br 4.763 1.629 9.485
Br 6.793 2.925 3.306
Br 2.129 3.778 7.544
Br 4.269 1.029 2.180
Br 4.652 5.673 8.670
Br 1.363 1.295 10.724
Br 7.559 5.407 0.126
Br 7.250 5.718 5.490
Br 1.672 0.985 5.360
```